# AcMg2Al2Ag2 PBE optimized geometry
data_AcMg2Al2Ag2
_chemical_formula_sum 'Ac1 Mg2 Al2 Ag2'
_cell_length_a 4.5864
_cell_length_b 4.5864
_cell_length_c 9.2351
_cell_angle_alpha 75.62
_cell_angle_beta 75.62
_cell_angle_gamma 60.00
_symmetry_space_group_name_H-M 'P 1'
_symmetry_Int_Tables_number 1
_symmetry_space_group_name_Hall 'P 1'
loop_
_atom_site_label
_atom_site_fract_x
_atom_site_fract_y
_atom_site_fract_z
Mg1 0.1377 0.1377 0.5870
Ag1 0.4293 0.4293 0.7120
Al1 0.2511 0.2511 0.2467
Ac1 0.0000 0.0000 0.0000
Mg2 0.8623 0.8623 0.4130
Al2 0.7489 0.7489 0.7533
Ag2 0.5707 0.5707 0.2880
# ΔH_f (0 K) = -0.2421 eV per atom
# energy = -3.17 eV per atom
# M_tot = 0.00 μB/f.u.
# SG = R-3m, No. 166